Here is a relaxed CePaSn crystal from the Alexandria database. Energies are from PBE-GGA.

Values from the calculation:
Excess energy over the best structure of this formula in the dataset = 0.58 eV per formula unit
ΔH_f (0 K) = -0.10 eV per formula unit
Total moment = 1.02 μB/f.u.

abc: 5.717 3.152 8.924
angles: 79.83 90.00 90.00
Element x y z (fractional)
Ce 0.000 0.000 0.000
Ce 0.500 0.000 0.000
Sn 0.250 0.354 0.292
Sn 0.750 0.646 0.708
Pa 0.250 0.173 0.653
Pa 0.750 0.827 0.347


Here is a relaxed SrRe2Ir crystal from the Alexandria database. Energies are from PBE-GGA.

Values from the calculation:
Excess energy over the best structure of this formula in the dataset = 3.10 eV per formula unit
ΔH_f (0 K) = 4.87 eV per formula unit
Total moment = 0.00 μB/f.u.

abc: 5.032 5.032 2.802
angles: 90.00 90.00 90.00
Element x y z (fractional)
Re 0.500 0.500 0.000
Re 0.000 0.000 0.000
Ir 0.000 0.500 0.500
Sr 0.500 0.000 0.500


Here is a relaxed Ca3ErTm3S8 crystal from the Alexandria database. Energies are from PBE-GGA.

Values from the calculation:
Raw total energy = -5.88 eV/atom
Total moment = 0.00 μB/f.u.

abc: 7.792 7.792 7.920
angles: 119.47 90.00 120.00
Element x y z (fractional)
Tm 0.500 0.500 0.500
Tm 0.500 0.000 0.500
Tm 0.000 0.500 0.500
S 0.747 0.493 0.740
S 0.255 0.010 0.264
S 0.245 0.491 0.736
S 0.755 0.010 0.264
S 0.745 0.990 0.736
S 0.253 0.507 0.260
S 0.245 0.990 0.736
S 0.755 0.509 0.264
Er 0.000 0.000 0.500
Ca 0.000 0.500 0.000
Ca 0.500 0.500 0.000
Ca 0.000 0.000 0.000


Here is a relaxed AcGdGaCu crystal from the Alexandria database. Energies are from PBE-GGA.

Values from the calculation:
ΔH_f (0 K) = -1.19 eV per formula unit
Total moment = 7.51 μB/f.u.

abc: 5.278 5.278 5.278
angles: 60.00 60.00 60.00
Element x y z (fractional)
Ga 0.750 0.750 0.750
Ac 0.500 0.500 0.500
Cu 0.250 0.250 0.250
Gd 0.000 0.000 0.000


Here is a relaxed CsAgBr3 crystal from the Alexandria database. Energies are from PBE-GGA.

Values from the calculation:
Raw total energy = -2.54 eV/atom
Total moment = 0.00 μB/f.u.

abc: 10.261 10.261 10.261
angles: 60.00 60.00 60.00
Element x y z (fractional)
Cs 0.125 0.625 0.625
Cs 0.625 0.625 0.625
Cs 0.625 0.125 0.625
Cs 0.625 0.625 0.125
Br 0.196 0.196 0.804
Br 0.196 0.804 0.196
Br 0.446 0.054 0.446
Br 0.804 0.196 0.804
Br 0.054 0.446 0.054
Br 0.446 0.054 0.054
Br 0.446 0.446 0.054
Br 0.054 0.446 0.446
Br 0.054 0.054 0.446
Br 0.804 0.804 0.196
Br 0.196 0.804 0.804
Br 0.804 0.196 0.196
Ag 0.125 0.125 0.125
Ag 0.625 0.125 0.125
Ag 0.125 0.125 0.625
Ag 0.125 0.625 0.125


Here is a relaxed SrMoW2 crystal from the Alexandria database. Energies are from PBE-GGA.

Values from the calculation:
Excess energy over the best structure of this formula in the dataset = 3.04 eV per formula unit
ΔH_f (0 K) = 5.99 eV per formula unit
Total moment = 0.00 μB/f.u.

abc: 5.002 3.916 3.916
angles: 90.00 90.00 90.00
Element x y z (fractional)
Mo 0.500 0.500 0.000
Sr 0.500 0.000 0.500
W 0.000 0.000 0.000
W 0.000 0.500 0.500